Arrangement w

Below is a geometry-optimized Re2Sb2O5 structure, with properties calculated at the GGA-PBE level.

Output
Spin magnetization: 0.00 μB per cell

a b c (Å): 3.968 3.968 6.886
angles (deg): 90.00 90.00 90.00
Fractional coordinates of all 9 atoms:
1 Re 0.000 0.000 0.175
2 Re 0.000 0.000 0.825
3 Sb 0.500 0.500 0.000
4 Sb 0.500 0.500 0.500
5 O 0.000 0.000 0.500
6 O 0.000 0.500 0.251
7 O 0.000 0.500 0.749
8 O 0.500 0.000 0.251
9 O 0.500 0.000 0.749


Arrangement x

Below is a geometry-optimized Re2Sb2O5 structure, with properties calculated at the GGA-PBE level.

Output
Spin magnetization: 0.00 μB per cell

a b c (Å): 3.408 3.408 8.685
angles (deg): 90.00 90.00 90.00
Fractional coordinates of all 9 atoms:
1 Re 0.000 0.000 0.000
2 Re 0.000 0.000 0.500
3 Sb 0.500 0.500 0.187
4 Sb 0.500 0.500 0.813
5 O 0.000 0.500 0.340
6 O 0.000 0.500 0.660
7 O 0.500 0.000 0.340
8 O 0.500 0.000 0.660
9 O 0.500 0.500 0.500


Most favorable structure: arrangement w. The second most favorable one is 57.4 kJ/mol of atoms above it.